(a)
TbNd8Cd2, relaxed, DFT PBE; size of the total moment = 0.00 μB/cell; symmetry = C2/m
1.0
0.102 5.746 0.732
-8.542 -1.875 1.965
6.536 -2.600 5.555
Nd Cd Tb
8 2 1
direct
0.500 0.780 0.220
0.112 0.093 0.317
0.888 0.907 0.683
0.298 0.598 0.598
0.500 0.220 0.780
0.888 0.683 0.907
0.112 0.317 0.093
0.702 0.402 0.402
0.000 0.694 0.306
0.000 0.306 0.694
0.500 0.000 0.000

***

(b)
TbNd8Cd2, relaxed, DFT PBE; size of the total moment = 0.00 μB/cell; symmetry = C2/m
1.0
-1.683 4.796 1.886
-7.331 -0.893 -4.268
0.721 -5.564 6.999
Nd Tb Cd
8 1 2
direct
0.397 0.532 0.795
0.148 0.206 0.297
0.313 0.045 0.625
0.053 0.739 0.105
0.852 0.794 0.703
0.603 0.468 0.205
0.947 0.261 0.895
0.687 0.955 0.375
0.500 0.000 0.000
0.222 0.631 0.444
0.778 0.369 0.556

***

Of all the structures shown, which is most stable? (b), and (a) is the least stable.